Record 1
Here is a relaxed structure of YTaBi2O7 from the Alexandria database. Energies are from PBE-GGA.

The calculation puts the total magnetization at 0.000 μB per formula unit. The total DFT energy (no corrections) comes out at -7.807 eV/atom. As for the uncorrected formation energy: -2.28 eV/atom.

The structure belongs to space group Imma (No. 74); the cell edges are 7.680, 7.727 and 10.919 Å and the angles 90.00°, 90.00° and 90.00°. The asymmetric unit holds Y at (0.250, 0.250, 0.250), Ta at (0.000, 0.000, 0.000), Bi at (0.000, 0.000, 0.500), Bi at (0.250, 0.250, 0.750), O at (0.000, 0.250, 0.359), O at (0.000, 0.250, 0.631), O at (0.000, 0.250, 0.984) and O at (0.192, 0.011, 0.127).

=====

Record 2
Here is a relaxed structure of YTaBi2O8 from the Alexandria database. Energies are from PBE-GGA.

The calculation puts the total magnetization at 0.000 μB per formula unit. The total DFT energy (no corrections) comes out at -7.535 eV/atom. As for the uncorrected formation energy: -2.06 eV/atom.

The structure belongs to space group P2/m (No. 10); the cell edges are 5.072, 6.875 and 5.074 Å and the angles 90.00°, 90.39° and 90.00°. The asymmetric unit holds Y at (0.000, 0.000, 0.000), Ta at (0.000, 0.500, 0.000), Bi at (0.500, 0.255, 0.500), O at (0.183, 0.279, 0.182), O at (0.283, 0.500, 0.716) and O at (0.312, 0.000, 0.687).

=====

Record 3
Here is a relaxed structure of Tb3BiO4 from the Alexandria database. Energies are from PBE-GGA.

The calculation puts the total magnetization at 0.000 μB per formula unit. The total DFT energy (no corrections) comes out at -7.582 eV/atom. As for the uncorrected formation energy: -2.88 eV/atom.

The structure belongs to space group P4/mmm (No. 123); the cell edges are 3.903, 3.903 and 10.253 Å and the angles 90.00°, 90.00° and 90.00°. The asymmetric unit holds Tb at (0.000, 0.000, 0.000), Tb at (0.500, 0.500, 0.230), Bi at (0.000, 0.000, 0.500) and O at (0.000, 0.500, 0.137).

=====

Record 4
Here is a relaxed structure of TbBi2O6 from the Alexandria database. Energies are from PBE-GGA.

The calculation puts the total magnetization at 0.000 μB per formula unit. The total DFT energy (no corrections) comes out at -6.259 eV/atom. As for the uncorrected formation energy: -1.58 eV/atom.

The structure belongs to space group I4/mmm (No. 139); the cell edges are 3.839, 3.839 and 16.357 Å and the angles 90.00°, 90.00° and 90.00°. The asymmetric unit holds Tb at (0.000, 0.000, 0.000), Bi at (0.000, 0.000, 0.338), O at (0.000, 0.500, 0.086) and O at (0.000, 0.500, 0.250).

=====

Record 5
Here is a relaxed structure of Tb2BiO from the Alexandria database. Energies are from PBE-GGA.

The calculation puts the total magnetization at 0.000 μB per formula unit. The energy relative to the lowest polymorph listed for this composition is 0.0000 eV per atom. The total DFT energy (no corrections) comes out at -6.329 eV/atom. As for the uncorrected formation energy: -1.80 eV/atom.

The structure belongs to space group P2_1/c (No. 14); the cell edges are 7.718, 6.779 and 7.748 Å and the angles 90.00°, 101.16° and 90.00°. The asymmetric unit holds Tb at (0.064, 0.114, 0.309), Tb at (0.311, 0.672, 0.532), Bi at (0.333, 0.130, 0.670) and O at (0.176, 0.686, 0.771).

=====

Record 6
Here is a relaxed structure of TbBiO4 from the Alexandria database. Energies are from PBE-GGA.

The calculation puts the total magnetization at 0.000 μB per formula unit. The total DFT energy (no corrections) comes out at -6.732 eV/atom. As for the uncorrected formation energy: -2.01 eV/atom.

The structure belongs to space group P2_1/c (No. 14); the cell edges are 7.842, 5.517 and 7.843 Å and the angles 90.00°, 96.38° and 90.00°. The asymmetric unit holds Tb at (0.133, 0.232, 0.385), Bi at (0.339, 0.728, 0.179), O at (0.108, 0.506, 0.166), O at (0.159, 0.004, 0.112), O at (0.327, 0.591, 0.923) and O at (0.416, 0.100, 0.822).

=====

Record 7
Here is a relaxed structure of Tb2BiO from the Alexandria database. Energies are from PBE-GGA.

The calculation puts the total magnetization at 0.000 μB per formula unit. The energy relative to the lowest polymorph listed for this composition is 0.2046 eV per atom. The total DFT energy (no corrections) comes out at -6.124 eV/atom. As for the uncorrected formation energy: -1.60 eV/atom.

The structure belongs to space group R-3m (No. 166, hexagonal axes); the cell edges are 3.6576, 3.6576 and 22.6062 Å and the angles 90.00°, 90.00° and 120.00°. The asymmetric unit holds Tb at (0.0000, 0.0000, 0.2225), Bi at (0.0000, 0.0000, 0.0000) and O at (0.0000, 0.0000, 0.5000).

=====

Record 8
Here is a relaxed structure of Tb3Bi5O12 from the Alexandria database. Energies are from PBE-GGA.

The calculation puts the total magnetization at 0.000 μB per formula unit. The total DFT energy (no corrections) comes out at -6.491 eV/atom. As for the uncorrected formation energy: -1.85 eV/atom.

The structure belongs to space group Ia-3d (No. 230); the cell edges are 13.800, 13.800 and 13.800 Å and the angles 90.00°, 90.00° and 90.00°. The asymmetric unit holds Tb at (0.000, 0.250, 0.125), Bi at (0.000, 0.000, 0.000), Bi at (0.000, 0.250, 0.375) and O at (0.018, 0.074, 0.655).

=====

Record 9
Here is a relaxed structure of TbBiO3 from the Alexandria database. Energies are from PBE-GGA.

The calculation puts the total magnetization at 0.000 μB per formula unit. The total DFT energy (no corrections) comes out at -7.029 eV/atom. As for the uncorrected formation energy: -2.35 eV/atom.

The structure belongs to space group C2/m (No. 12); the cell edges are 12.324, 4.023 and 6.805 Å and the angles 90.00°, 96.91° and 90.00°. The asymmetric unit holds Tb at (0.129, 0.000, 0.413), Bi at (0.134, 0.500, 0.862), O at (0.049, 0.000, 0.710), O at (0.172, 0.500, 0.539) and O at (0.187, 0.000, 0.103).

=====

Record 10
Here is a relaxed structure of Tb3BiO7 from the Alexandria database. Energies are from PBE-GGA.

The calculation puts the total magnetization at 0.000 μB per formula unit. The total DFT energy (no corrections) comes out at -7.503 eV/atom. As for the uncorrected formation energy: -2.73 eV/atom.

The structure belongs to space group Cmcm (No. 63); the cell edges are 7.617, 10.780 and 7.715 Å and the angles 90.00°, 90.00° and 90.00°. The asymmetric unit holds Tb at (0.000, 0.000, 0.000), Tb at (0.234, 0.265, 0.250), Bi at (0.000, 0.500, 0.000), O at (0.000, 0.131, 0.750), O at (0.000, 0.137, 0.250), O at (0.000, 0.414, 0.250) and O at (0.210, 0.373, 0.530).

=====

Record 11
Here is a relaxed structure of Tb2Bi2O7 from the Alexandria database. Energies are from PBE-GGA.

The calculation puts the total magnetization at 0.004 μB per formula unit. The total DFT energy (no corrections) comes out at -6.803 eV/atom. As for the uncorrected formation energy: -2.10 eV/atom.

The structure belongs to space group Fd-3m (No. 227, origin choice 2); the cell edges are 10.952, 10.952 and 10.952 Å and the angles 90.00°, 90.00° and 90.00°. The asymmetric unit holds Tb at (0.000, 0.000, 0.000), Bi at (0.000, 0.000, 0.500), O at (0.102, 0.375, 0.875) and O at (0.125, 0.125, 0.125).

=====

Record 12
Here is a relaxed structure of TbBi3O6 from the Alexandria database. Energies are from PBE-GGA.

The calculation puts the total magnetization at 0.000 μB per formula unit. The energy relative to the lowest polymorph listed for this composition is 0.0096 eV per atom. The total DFT energy (no corrections) comes out at -6.368 eV/atom. As for the uncorrected formation energy: -1.77 eV/atom.

The structure belongs to space group R-3 (No. 148, hexagonal axes); the cell edges are 10.2166, 10.2166 and 11.4894 Å and the angles 90.00°, 90.00° and 120.00°. The asymmetric unit holds Tb at (0.0000, 0.0000, 0.0000), Tb at (0.0000, 0.0000, 0.5000), Bi at (0.0425, 0.2608, 0.2088), O at (0.0267, 0.1819, 0.8695) and O at (0.0349, 0.2058, 0.3949).